# ScCdAg2 | Alexandria via LeMat-Bulk | PBEsol | optimized geometry
data_ScCdAg2
_cell_length_a 4.317
_cell_length_b 4.317
_cell_length_c 7.847
_cell_angle_alpha 90.00
_cell_angle_beta 90.00
_cell_angle_gamma 90.00
_symmetry_space_group_name_H-M 'I -4 m 2'
_symmetry_Int_Tables_number 119
_symmetry_space_group_name_Hall 'I -4 -2'
loop_
_atom_site_label
_atom_site_fract_x
_atom_site_fract_y
_atom_site_fract_z
Sc1 0.000 0.000 0.000
Cd1 0.000 0.500 0.750
Ag1 0.000 0.000 0.500
Ag2 0.000 0.500 0.250
# Formation energy from the elements = -0.226 eV per atom
# M_tot = 0.0 μB/f.u.
# Theoretical density = 8.47 g cm⁻³

# Mn2CoBr | Alexandria via LeMat-Bulk | PBEsol | optimized geometry
data_Mn2CoBr
_cell_length_a 3.047
_cell_length_b 3.047
_cell_length_c 6.658
_cell_angle_alpha 90.00
_cell_angle_beta 90.00
_cell_angle_gamma 90.00
_symmetry_space_group_name_H-M 'P 4/m m m'
_symmetry_Int_Tables_number 123
_symmetry_space_group_name_Hall '-P 4 2'
loop_
_atom_site_label
_atom_site_fract_x
_atom_site_fract_y
_atom_site_fract_z
Mn1 0.000 0.000 0.202
Co1 0.500 0.500 0.000
Br1 0.500 0.500 0.500
# Relative energy among the computed polymorphs = 0.057 eV per atom
# M_tot = 9.5 μB/f.u.
# Theoretical density = 6.68 g cm⁻³

# HoMg3 | Alexandria via LeMat-Bulk | PBEsol | optimized geometry
data_HoMg3
_cell_length_a 7.229
_cell_length_b 7.229
_cell_length_c 7.229
_cell_angle_alpha 90.00
_cell_angle_beta 90.00
_cell_angle_gamma 90.00
_symmetry_space_group_name_H-M 'F m -3 m'
_symmetry_Int_Tables_number 225
_symmetry_space_group_name_Hall '-F 4 2 3'
loop_
_atom_site_label
_atom_site_fract_x
_atom_site_fract_y
_atom_site_fract_z
Ho1 0.000 0.000 0.000
Mg1 0.000 0.000 0.500
Mg2 0.250 0.250 0.250
# Formation energy from the elements = -0.063 eV per atom
# M_tot = 0.0 μB/f.u.
# Theoretical density = 4.18 g cm⁻³

# Sm2Fe17C2 | Alexandria via LeMat-Bulk | PBEsol | optimized geometry
data_Sm2Fe17C2
_cell_length_a 9.446
_cell_length_b 8.528
_cell_length_c 6.365
_cell_angle_alpha 90.00
_cell_angle_beta 98.69
_cell_angle_gamma 90.00
_symmetry_space_group_name_H-M 'C 1 2/m 1'
_symmetry_Int_Tables_number 12
loop_
_symmetry_equiv_pos_as_xyz
'x,y,z'
'-x,-y,-z'
'-x,y,-z'
'x,-y,z'
'x+1/2,y+1/2,z'
'-x+1/2,-y+1/2,-z'
'-x+1/2,y+1/2,-z'
'x+1/2,-y+1/2,z'
loop_
_atom_site_label
_atom_site_fract_x
_atom_site_fract_y
_atom_site_fract_z
Sm1 0.150 0.000 0.331
Fe1 0.000 0.225 0.000
Fe2 0.000 0.500 0.500
Fe3 0.097 0.500 0.905
Fe4 0.098 0.255 0.660
Fe5 0.144 0.360 0.286
Fe6 0.157 0.000 0.855
Fe7 0.250 0.250 0.000
C1 0.250 0.250 0.500
# Formation energy from the elements = -0.025 eV per atom
# M_tot = 32.5 μB/f.u.
# Theoretical density = 8.35 g cm⁻³

# CoCuSb2 | Alexandria via LeMat-Bulk | PBEsol | optimized geometry
data_CoCuSb2
_cell_length_a 3.936
_cell_length_b 3.575
_cell_length_c 9.519
_cell_angle_alpha 90.00
_cell_angle_beta 90.00
_cell_angle_gamma 90.00
_symmetry_space_group_name_H-M 'A m m 2'
_symmetry_Int_Tables_number 38
loop_
_symmetry_equiv_pos_as_xyz
'x,y,z'
'-x,-y,z'
'-x,y,z'
'x,-y,z'
'x,y+1/2,z+1/2'
'-x,-y+1/2,z+1/2'
'-x,y+1/2,z+1/2'
'x,-y+1/2,z+1/2'
loop_
_atom_site_label
_atom_site_fract_x
_atom_site_fract_y
_atom_site_fract_z
Co1 0.000 0.000 0.000
Cu1 0.500 0.000 0.838
Sb1 0.000 0.000 0.282
Sb2 0.500 0.000 0.561
# M_tot = 0.0 μB/f.u.
# Theoretical density = 9.08 g cm⁻³
# Final energy = -5.252 eV per atom

# Ba4ReHg | Alexandria via LeMat-Bulk | PBEsol | optimized geometry
data_Ba4ReHg
_cell_length_a 9.479
_cell_length_b 9.479
_cell_length_c 9.479
_cell_angle_alpha 90.00
_cell_angle_beta 90.00
_cell_angle_gamma 90.00
_symmetry_space_group_name_H-M 'F -4 3 m'
_symmetry_Int_Tables_number 216
_symmetry_space_group_name_Hall 'F -4 2 3'
loop_
_atom_site_label
_atom_site_fract_x
_atom_site_fract_y
_atom_site_fract_z
Ba1 0.125 0.125 0.125
Re1 0.250 0.250 0.750
Hg1 0.000 0.000 0.500
# Formation energy from the elements = 1.217 eV per atom
# M_tot = 1.5 μB/f.u.
# Theoretical density = 7.30 g cm⁻³